[1]
The following is a DFT calculation (GGA-PBEsol) of crystalline MnCo3 at its relaxed geometry.

Output
As for the density of states at the Fermi level: 8.413 states/eV/f.u. Its crystal system is cubic. The value obtained for the calculated volume is 17.375 Å³ per atom. As for the calculated total energy: -0.2309 hartree per atom. The space group is Pm-3m, No. 221. The calculated density is 5537 kg/m³. The value obtained for the energy of formation from the pure elements is 1961 meV per atom.

The structure in POSCAR format:
```
MnCo3
1.0
4.111 0.000 0.000
0.000 4.111 0.000
0.000 0.000 4.111
Mn Co
1 3
Cartesian
0.000 0.000 0.000
0.000 0.000 2.056
0.000 2.056 0.000
2.056 0.000 0.000
```

[2]
The following is a DFT calculation (GGA-PBEsol) of crystalline HgSbRh at its relaxed geometry.

Output
As for the density of states at the Fermi level: 1.782 states/eV/f.u. Its crystal system is cubic. The value obtained for the calculated volume is 20.957 Å³ per atom. The formation energy from raw total energies comes out at -0.11 eV/atom. As for the calculated total energy: -0.1665 hartree per atom. The space group is F-43m, No. 216. The calculated density is 11232 kg/m³. As for the energy above the most stable polymorph in this dataset: 0.0 meV/atom.

The structure in POSCAR format:
```
HgSbRh
1.0
6.312 0.000 0.000
0.000 6.312 0.000
0.000 0.000 6.312
Hg Sb Rh
4 4 4
Cartesian
0.000 0.000 0.000
0.000 3.156 3.156
3.156 0.000 3.156
3.156 3.156 0.000
0.000 0.000 3.156
0.000 3.156 0.000
3.156 0.000 0.000
3.156 3.156 3.156
1.578 1.578 4.734
1.578 4.734 1.578
4.734 1.578 1.578
4.734 4.734 4.734
```

[3]
The following is a DFT calculation (GGA-PBEsol) of crystalline KRhWS2 at its relaxed geometry.

Output
As for the density of states at the Fermi level: 3.862 states/eV/f.u. Its crystal system is tetragonal. The value obtained for the calculated volume is 21.200 Å³ per atom. The formation energy from raw total energies comes out at 0.05 eV/atom. As for the calculated total energy: -0.2322 hartree per atom. The space group is P4/mmm, No. 123. The calculated density is 6109 kg/m³.

The structure in POSCAR format:
```
KRhWS2
1.0
4.690 0.000 0.000
0.000 4.690 0.000
0.000 0.000 4.819
K Rh W S
1 1 1 2
Cartesian
0.000 0.000 0.000
2.345 2.345 0.000
2.345 2.345 2.410
0.000 2.345 2.410
2.345 0.000 2.410
```

[4]
The following is a DFT calculation (GGA-PBEsol) of crystalline K2FeH12S2O14 at its relaxed geometry.

Output
As for the density of states at the Fermi level: 6.531 states/eV/f.u. Its crystal system is monoclinic. The value obtained for the calculated volume is 10.402 Å³ per atom. As for the calculated total energy: -0.2055 hartree per atom. The space group is P2_1/c, No. 14. The calculated density is 2236 kg/m³.

The structure in POSCAR format:
```
K2FeH12S2O14
1.0
6.155 0.000 0.000
0.000 12.032 0.000
-2.078 0.000 8.708
K Fe H S O
4 2 24 4 28
Cartesian
0.256 1.933 3.188
-0.783 4.083 7.542
4.860 7.949 1.166
3.822 10.100 5.520
3.078 0.000 0.000
2.039 6.016 4.354
-0.266 6.764 5.345
0.773 11.285 0.991
0.035 7.786 4.125
-1.003 10.262 8.479
-0.559 1.051 6.772
0.480 4.965 2.418
0.963 1.501 6.483
2.001 4.515 2.129
2.087 7.256 1.935
1.048 10.792 6.289
2.285 8.378 3.057
1.246 9.671 7.411
2.831 2.362 1.297
1.792 3.655 5.651
3.029 1.240 2.419
1.991 4.776 6.773
2.076 7.517 6.579
3.115 10.532 2.225
3.597 7.067 6.290
4.636 10.982 1.936
5.081 1.770 0.229
4.042 4.246 4.583
3.305 0.748 7.717
4.343 5.268 3.363
-0.542 7.635 7.933
0.496 10.413 3.579
3.581 1.619 5.129
4.620 4.397 0.775
-1.424 8.836 7.878
-0.385 9.212 3.524
-0.948 6.717 6.825
0.091 11.332 2.471
0.211 6.858 4.468
1.250 11.191 0.114
1.354 6.930 0.511
0.315 11.119 4.865
0.281 1.387 7.201
1.320 4.630 2.847
0.885 8.045 7.759
1.924 10.003 3.405
2.553 1.435 1.554
1.514 4.581 5.908
2.563 7.452 2.800
1.524 10.597 7.154
2.154 2.029 5.303
3.193 3.987 0.949
2.758 7.403 5.861
3.796 10.646 1.507
3.763 0.914 3.843
2.724 5.103 8.197
2.827 0.842 8.594
3.866 5.175 4.240
3.987 0.701 6.237
5.025 5.316 1.883
4.462 2.820 5.184
5.501 3.196 0.830
```